# 1
## TlAgIr2 (PBE-GGA)

Data for a relaxed TlAgIr2 crystal.

Cell: 4.080 4.080 4.117 Å, 90.00 90.00 90.00°
Space group P4/mmm (No. 123)
Inequivalent atoms, fractional coordinates:
Tl (0.000, 0.000, 0.000) x1
Ag (0.500, 0.500, 0.000) x1
Ir (0.000, 0.500, 0.500) x2

For the spin magnetization, the calculation gives 0.005 μB per atom. Its energy above the lowest structure with this stoichiometry is 191 meV per atom. The calculation puts the density at 16.88 Mg/m³. Its crystal system is tetragonal. For the formation energy, the calculation gives 0.59 eV/atom.

---

# 2
## TlAgIr2 (PBE-GGA)

Data for a relaxed TlAgIr2 crystal.

Cell: 5.833 7.902 2.975 Å, 90.00 90.00 90.00°
Space group Cmmm (No. 65)
Inequivalent atoms, fractional coordinates:
Tl (0.000, 0.000, 0.000) x2
Ag (0.000, 0.500, 0.000) x2
Ir (0.250, 0.250, 0.500) x4

For the spin magnetization, the calculation gives 0.000 μB per atom. Its energy above the lowest structure with this stoichiometry is 217 meV per atom. The calculation puts the density at 16.87 Mg/m³. Its crystal system is orthorhombic. For the formation energy, the calculation gives 0.61 eV/atom.

---

# 3
## TlAgIr (PBE-GGA)

Data for a relaxed TlAgIr crystal.

Cell: 3.067 3.067 12.043 Å, 90.00 90.00 90.00°
Space group I4mm (No. 107)
Inequivalent atoms, fractional coordinates:
Tl (0.000, 0.000, 0.000) x2
Ag (0.000, 0.000, 0.312) x2
Ir (0.000, 0.000, 0.656) x2

For the spin magnetization, the calculation gives 0.000 μB per atom. Its energy above the lowest structure with this stoichiometry is 18 meV per atom. The calculation puts the density at 14.79 Mg/m³. Its crystal system is tetragonal. For the formation energy, the calculation gives 0.52 eV/atom.

---

# 4
## TlAgIr2 (PBE-GGA)

Data for a relaxed TlAgIr2 crystal.

Cell: 2.939 4.050 5.775 Å, 90.00 90.00 90.00°
Space group Pmmm (No. 47)
Inequivalent atoms, fractional coordinates:
Tl (0.000, 0.000, 0.000) x1
Ag (0.000, 0.000, 0.500) x1
Ir (0.500, 0.500, 0.259) x2

For the spin magnetization, the calculation gives 0.000 μB per atom. Its energy above the lowest structure with this stoichiometry is 234 meV per atom. The calculation puts the density at 16.83 Mg/m³. Its crystal system is orthorhombic. For the formation energy, the calculation gives 0.63 eV/atom.

---

# 5
## TlAg2Ir (PBE-GGA)

Data for a relaxed TlAg2Ir crystal.

Cell: 3.212 4.626 4.919 Å, 90.00 90.00 90.00°
Space group Pmmm (No. 47)
Inequivalent atoms, fractional coordinates:
Tl (0.000, 0.000, 0.000) x1
Ag (0.000, 0.500, 0.500) x1
Ag (0.500, 0.000, 0.500) x1
Ir (0.500, 0.500, 0.000) x1

For the spin magnetization, the calculation gives 0.000 μB per atom. Its energy above the lowest structure with this stoichiometry is 50 meV per atom. The calculation puts the density at 13.91 Mg/m³. Its crystal system is orthorhombic. For the formation energy, the calculation gives 0.37 eV/atom.

---

# 6
## TlAg2Ir (PBE-GGA)

Data for a relaxed TlAg2Ir crystal.

Cell: 3.930 3.930 20.455 Å, 90.00 90.00 90.00°
Space group I-42d (No. 122)
Inequivalent atoms, fractional coordinates:
Tl (0.000, 0.000, 0.000) x4
Ag (0.239, 0.250, 0.625) x8
Ir (0.000, 0.000, 0.500) x4

For the spin magnetization, the calculation gives 0.000 μB per atom. Its energy above the lowest structure with this stoichiometry is 186 meV per atom. The calculation puts the density at 12.88 Mg/m³. Its crystal system is tetragonal. For the formation energy, the calculation gives 0.50 eV/atom.

---

# 7
## TlAgIr2 (PBE-GGA)

Data for a relaxed TlAgIr2 crystal.

Cell: 6.496 6.496 6.496 Å, 90.00 90.00 90.00°
Space group Fm-3m (No. 225)
Inequivalent atoms, fractional coordinates:
Tl (0.000, 0.000, 0.000) x4
Ag (0.000, 0.000, 0.500) x4
Ir (0.250, 0.250, 0.250) x8

For the spin magnetization, the calculation gives 0.000 μB per atom. Its energy above the lowest structure with this stoichiometry is 231 meV per atom. The calculation puts the density at 16.88 Mg/m³. Its crystal system is cubic. For the formation energy, the calculation gives 0.63 eV/atom.

---

# 8
## TlAg2Ir (PBE-GGA)

Data for a relaxed TlAg2Ir crystal.

Cell: 4.025 4.025 9.041 Å, 90.00 90.00 90.00°
Space group I4/mmm (No. 139)
Inequivalent atoms, fractional coordinates:
Tl (0.000, 0.000, 0.000) x2
Ag (0.000, 0.500, 0.250) x4
Ir (0.000, 0.000, 0.500) x2

For the spin magnetization, the calculation gives 0.000 μB per atom. Its energy above the lowest structure with this stoichiometry is 80 meV per atom. The calculation puts the density at 13.88 Mg/m³. Its crystal system is tetragonal. For the formation energy, the calculation gives 0.40 eV/atom.

---

# 9
## TlAg2Ir (PBE-GGA)

Data for a relaxed TlAg2Ir crystal.

Cell: 5.583 8.599 3.079 Å, 90.00 90.00 90.00°
Space group Cmmm (No. 65)
Inequivalent atoms, fractional coordinates:
Tl (0.000, 0.000, 0.000) x2
Ag (0.250, 0.250, 0.500) x4
Ir (0.000, 0.500, 0.000) x2

For the spin magnetization, the calculation gives 0.000 μB per atom. Its energy above the lowest structure with this stoichiometry is 94 meV per atom. The calculation puts the density at 13.76 Mg/m³. Its crystal system is orthorhombic. For the formation energy, the calculation gives 0.41 eV/atom.

---

# 10
## TlAgIr4 (PBE-GGA)

Data for a relaxed TlAgIr4 crystal.

Cell: 7.472 7.472 7.472 Å, 90.00 90.00 90.00°
Space group F-43m (No. 216)
Inequivalent atoms, fractional coordinates:
Tl (0.000, 0.000, 0.000) x4
Ag (0.250, 0.250, 0.250) x4
Ir (0.125, 0.125, 0.625) x16

For the spin magnetization, the calculation gives 0.000 μB per atom. The calculation puts the density at 17.21 Mg/m³. Its crystal system is cubic. For the formation energy, the calculation gives 0.55 eV/atom.

---

# 11
## TlAgIr2 (PBE-GGA)

Data for a relaxed TlAgIr2 crystal.

Cell: 2.869 4.812 10.564 Å, 90.00 90.00 90.00°
Space group Imm2 (No. 44)
Inequivalent atoms, fractional coordinates:
Tl (0.000, 0.000, 0.000) x2
Ag (0.000, 0.500, 0.795) x2
Ir (0.000, 0.000, 0.556) x2
Ir (0.000, 0.500, 0.258) x2

For the spin magnetization, the calculation gives 0.000 μB per atom. Its energy above the lowest structure with this stoichiometry is 137 meV per atom. The calculation puts the density at 15.86 Mg/m³. Its crystal system is orthorhombic. For the formation energy, the calculation gives 0.53 eV/atom.

---

# 12
## TlAgIr2 (PBE-GGA)

Data for a relaxed TlAgIr2 crystal.

Cell: 2.924 4.811 4.893 Å, 90.00 90.00 90.00°
Space group Pmmm (No. 47)
Inequivalent atoms, fractional coordinates:
Tl (0.000, 0.000, 0.000) x1
Ag (0.500, 0.000, 0.500) x1
Ir (0.000, 0.500, 0.500) x1
Ir (0.500, 0.500, 0.000) x1

For the spin magnetization, the calculation gives 0.000 μB per atom. Its energy above the lowest structure with this stoichiometry is 160 meV per atom. The calculation puts the density at 16.81 Mg/m³. Its crystal system is orthorhombic. For the formation energy, the calculation gives 0.56 eV/atom.